HgRu | the Alexandria database | GGA-PBE | relaxed; final energy = -3.30 eV/atom; ΔE_f = 1487.4 meV/atom; total magnetic moment = 3.61 μB/cell; D(E_F) = 3.7 states/eV per cell
1.0
4.644 0.000 0.000
-2.322 4.022 0.000
0.000 0.000 5.449
Hg Ru
2 2
Direct
0.333 0.667 0.250
0.667 0.333 0.750
0.333 0.667 0.750
0.667 0.333 0.250